Th3IrAu | PBE | relaxed

Results
The formation energy is -0.545 eV/atom. As for the total energy: -74.24 eV per cell.

abc: 6.6497 6.6497 9.2422
angles: 113.25 113.25 48.06
Element x y z (fractional)
Th: 0.1205 0.1205 0.4202
Th: 0.3586 0.3586 0.8430
Th: 0.3599 0.3599 0.2005
Th: 0.6401 0.6401 0.7995
Th: 0.6414 0.6414 0.1570
Th: 0.8795 0.8795 0.5798
Ir: 0.3914 0.3914 0.5392
Ir: 0.6086 0.6086 0.4608
Au: 0.0921 0.0921 0.9390
Au: 0.9079 0.9079 0.0610